[1]
A geometry-optimized Hg2TePb structure, computed with PBE.

a b c (Å): 7.335 7.335 11.193
angles (deg): 90.00 90.00 90.00
Atoms (fractional coordinates):
Hg (0.245, 0.250, 0.125)
Hg (0.250, 0.745, 0.375)
Hg (0.250, 0.755, 0.875)
Hg (0.255, 0.250, 0.625)
Hg (0.745, 0.750, 0.625)
Hg (0.750, 0.245, 0.875)
Hg (0.750, 0.255, 0.375)
Hg (0.755, 0.750, 0.125)
Te (0.000, 0.000, 0.000)
Te (0.000, 0.500, 0.250)
Te (0.500, 0.000, 0.750)
Te (0.500, 0.500, 0.500)
Pb (0.000, 0.000, 0.500)
Pb (0.000, 0.500, 0.750)
Pb (0.500, 0.000, 0.250)
Pb (0.500, 0.500, 0.000)

E_form (uncorrected) (eV/atom): 0.103

[2]
A geometry-optimized Pr3Nd5Tm2 structure, computed with PBE.

a b c (Å): 9.313 9.313 10.075
angles (deg): 108.54 108.54 108.01
Atoms (fractional coordinates):
Pr (0.025, 0.276, 0.056)
Pr (0.229, 0.771, 0.750)
Pr (0.276, 0.025, 0.556)
Pr (0.724, 0.975, 0.444)
Pr (0.771, 0.229, 0.250)
Pr (0.975, 0.724, 0.944)
Nd (0.020, 0.980, 0.750)
Nd (0.137, 0.383, 0.763)
Nd (0.272, 0.728, 0.250)
Nd (0.383, 0.137, 0.263)
Nd (0.477, 0.523, 0.250)
Nd (0.523, 0.477, 0.750)
Nd (0.617, 0.863, 0.737)
Nd (0.728, 0.272, 0.750)
Nd (0.863, 0.617, 0.237)
Nd (0.980, 0.020, 0.250)
Tm (0.221, 0.469, 0.446)
Tm (0.469, 0.221, 0.946)
Tm (0.531, 0.779, 0.054)
Tm (0.779, 0.531, 0.554)

ΔH_f (0 K) (eV per atom): 0.1693

[3]
A geometry-optimized SmHo2Pb2 structure, computed with PBE.

a b c (Å): 6.516 6.526 7.884
angles (deg): 90.00 113.92 90.00
Atoms (fractional coordinates):
Sm (0.000, 0.000, 0.000)
Sm (0.500, 0.500, 0.000)
Ho (0.000, 0.250, 0.500)
Ho (0.000, 0.750, 0.500)
Ho (0.500, 0.250, 0.500)
Ho (0.500, 0.750, 0.500)
Pb (0.105, 0.500, 0.203)
Pb (0.395, 0.000, 0.797)
Pb (0.605, 0.000, 0.203)
Pb (0.895, 0.500, 0.797)

ΔH_f (0 K) (eV per atom): -0.2598

[4]
A geometry-optimized Ho6Cd3Ag structure, computed with PBE.

a b c (Å): 9.082 5.316 11.626
angles (deg): 90.00 109.78 90.00
Atoms (fractional coordinates):
Ho (0.036, 0.250, 0.415)
Ho (0.167, 0.750, 0.172)
Ho (0.255, 0.250, 0.005)
Ho (0.347, 0.750, 0.811)
Ho (0.365, 0.250, 0.342)
Ho (0.404, 0.250, 0.635)
Ho (0.596, 0.750, 0.365)
Ho (0.635, 0.750, 0.658)
Ho (0.653, 0.250, 0.189)
Ho (0.745, 0.750, 0.995)
Ho (0.833, 0.250, 0.828)
Ho (0.964, 0.750, 0.585)
Cd (0.027, 0.750, 0.874)
Cd (0.105, 0.250, 0.716)
Cd (0.272, 0.750, 0.476)
Cd (0.728, 0.250, 0.524)
Cd (0.895, 0.750, 0.284)
Cd (0.973, 0.250, 0.126)
Ag (0.451, 0.750, 0.092)
Ag (0.549, 0.250, 0.908)

ΔH_f (0 K) (eV per atom): -0.2093

[5]
A geometry-optimized PmEuAu structure, computed with PBE.

a b c (Å): 7.283 7.283 7.283
angles (deg): 90.00 90.00 90.00
Atoms (fractional coordinates):
Pm (0.000, 0.000, 0.000)
Pm (0.000, 0.500, 0.500)
Pm (0.500, 0.000, 0.500)
Pm (0.500, 0.500, 0.000)
Eu (0.000, 0.000, 0.500)
Eu (0.000, 0.500, 0.000)
Eu (0.500, 0.000, 0.000)
Eu (0.500, 0.500, 0.500)
Au (0.250, 0.250, 0.750)
Au (0.250, 0.750, 0.250)
Au (0.750, 0.250, 0.250)
Au (0.750, 0.750, 0.750)

ΔH_f (0 K) (eV per atom): -0.4143

[6]
A geometry-optimized Ba2RuF structure, computed with PBE.

a b c (Å): 7.523 7.523 7.523
angles (deg): 90.00 90.00 90.00
Atoms (fractional coordinates):
Ba (0.250, 0.250, 0.250)
Ba (0.250, 0.250, 0.750)
Ba (0.250, 0.750, 0.250)
Ba (0.250, 0.750, 0.750)
Ba (0.750, 0.250, 0.250)
Ba (0.750, 0.250, 0.750)
Ba (0.750, 0.750, 0.250)
Ba (0.750, 0.750, 0.750)
Ru (0.000, 0.000, 0.000)
Ru (0.000, 0.500, 0.500)
Ru (0.500, 0.000, 0.500)
Ru (0.500, 0.500, 0.000)
F (0.000, 0.000, 0.500)
F (0.000, 0.500, 0.000)
F (0.500, 0.000, 0.000)
F (0.500, 0.500, 0.500)

E_form (uncorrected) (eV/atom): -0.606

Q: Number 2 is which compound?
A: Pr3Nd5Tm2

Please write out number 5 again, unchanged.
A geometry-optimized PmEuAu structure, computed with PBE.

a b c (Å): 7.283 7.283 7.283
angles (deg): 90.00 90.00 90.00
Atoms (fractional coordinates):
Pm (0.000, 0.000, 0.000)
Pm (0.000, 0.500, 0.500)
Pm (0.500, 0.000, 0.500)
Pm (0.500, 0.500, 0.000)
Eu (0.000, 0.000, 0.500)
Eu (0.000, 0.500, 0.000)
Eu (0.500, 0.000, 0.000)
Eu (0.500, 0.500, 0.500)
Au (0.250, 0.250, 0.750)
Au (0.250, 0.750, 0.250)
Au (0.750, 0.250, 0.250)
Au (0.750, 0.750, 0.750)

ΔH_f (0 K) (eV per atom): -0.4143